1.
Compound: LaHfCo3
Source: the Alexandria database
Functional: GGA-PBE
Structure: relaxed

Properties
Calculated formation energy   1225 meV per atom
Symmetry   No. 221
Final energy   -6.015 eV/atom
ρ   8.8 g/cm³
E above lowest polymorph   670 meV per atom

```
5
Lattice="4.533 0.000 0.000 0.000 4.533 0.000 0.000 0.000 4.533" Properties=species:S:1:pos:R:3 pbc="T T T"
La 0.000 0.000 0.000
Hf 2.267 2.267 2.267
Co 0.000 0.000 2.267
Co 0.000 2.267 0.000
Co 2.267 0.000 0.000
```

---

2.
Compound: Be2Nb2GaCo5
Source: the Alexandria database
Functional: GGA-PBE
Structure: relaxed

Properties
Calculated formation energy   -292 meV per atom
Symmetry   No. 127
Final energy   -6.907 eV/atom
ρ   8.2 g/cm³

```
20
Lattice="8.595 0.000 0.000 0.000 8.595 0.000 0.000 0.000 3.125" Properties=species:S:1:pos:R:3 pbc="T T T"
Be 1.018 3.280 0.000
Be 3.280 7.577 0.000
Be 5.316 1.018 0.000
Be 7.577 5.316 0.000
Nb 1.519 5.817 0.000
Nb 2.779 1.519 0.000
Nb 5.817 7.076 0.000
Nb 7.076 2.779 0.000
Ga 0.000 0.000 0.000
Ga 4.298 4.298 0.000
Co 0.000 4.298 1.562
Co 0.582 1.843 1.562
Co 1.843 8.013 1.562
Co 2.455 3.715 1.562
Co 3.715 6.141 1.562
Co 4.298 0.000 1.562
Co 4.880 2.455 1.562
Co 6.141 4.880 1.562
Co 6.752 0.582 1.562
Co 8.013 6.752 1.562
```

---

3.
Compound: Nd3SmYTh
Source: the Alexandria database
Functional: GGA-PBE
Structure: relaxed

Properties
Calculated formation energy   31 meV per atom
Symmetry   No. 11
Final energy   -5.454 eV/atom
ρ   7.3 g/cm³

```
12
Lattice="8.145 0.000 0.000 0.000 5.146 0.000 -3.278 0.000 9.760" Properties=species:S:1:pos:R:3 pbc="T T T"
Nd 0.427 1.287 2.840
Nd -0.396 3.860 5.311
Nd 1.313 3.860 0.433
Nd 3.555 1.287 9.327
Nd 5.263 1.287 4.449
Nd 4.441 3.860 6.920
Sm -1.151 1.287 7.767
Sm 6.018 3.860 1.993
Y 2.008 1.287 6.133
Y 2.859 3.860 3.627
Th 1.186 3.860 8.577
Th 3.682 1.287 1.183
```

---

4.
Compound: LiAl2HgN
Source: the Alexandria database
Functional: GGA-PBE
Structure: relaxed

Properties
Raw formation energy   -0.25 eV per atom
Symmetry   No. 123
Final energy   -3.858 eV/atom
ρ   6.7 g/cm³
E above lowest polymorph   0 meV per atom

```
5
Lattice="3.986 0.000 0.000 0.000 3.986 0.000 0.000 0.000 4.317" Properties=species:S:1:pos:R:3 pbc="T T T"
Li 0.000 0.000 0.000
Al 0.000 1.993 2.158
Al 1.993 0.000 2.158
Hg 1.993 1.993 0.000
N 0.000 0.000 2.158
```